A relaxed K3ZnF crystal, computed with GGA-PBE.

a b c (Å): 5.4901 5.4901 5.4901
angles (deg): 90.00 90.00 90.00
Last column: nearest neighbours and their distance in Å.
Sites, in units of the cell vectors:
Zn 0.5000 0.5000 0.5000  12 K 3.88
K 0.0000 0.5000 0.0000  2 F 2.75
K 0.5000 0.0000 0.0000  2 F 2.75
F 0.0000 0.0000 0.0000  6 K 2.75
K 0.0000 0.0000 0.5000  2 F 2.75

**Mass density**: 2.024 g cm⁻³
**Total magnetic moment**: 0.00 μB/cell
**Formation energy (no corrections)**: -4.75 eV/f.u.
**Energy relative to the lowest polymorph listed for this composition**: 0.000 eV per atom